Record 1
The following is a DFT calculation (GGA+U) of NiO2 after structural relaxation.

Calculated values
SG ... No. 62
Spin magnetization ... 0.0 Bohr magnetons per cell
Electronic total energy ... -107.85 eV per cell
Volume ... 237.52 Å³/cell

```
NiO2
1.0
8.2599 0.0000 0.0000
0.0000 2.8587 0.0000
0.0000 0.0000 10.0588
Ni O
8 16
direct
0.0461 0.2500 0.1176
0.0928 0.2500 0.5984
0.4072 0.7500 0.0984
0.4539 0.7500 0.6176
0.5461 0.2500 0.3824
0.5928 0.2500 0.9016
0.9072 0.7500 0.4016
0.9539 0.7500 0.8824
0.0585 0.7500 0.7149
0.0926 0.2500 0.9337
0.1194 0.7500 0.4750
0.1854 0.7500 0.1618
0.3146 0.2500 0.6618
0.3806 0.2500 0.9750
0.4074 0.7500 0.4337
0.4415 0.2500 0.2149
0.5585 0.7500 0.7851
0.5926 0.2500 0.5663
0.6194 0.7500 0.0250
0.6854 0.7500 0.3382
0.8146 0.2500 0.8382
0.8806 0.2500 0.5250
0.9074 0.7500 0.0663
0.9415 0.2500 0.2851
```


Record 2
The following is a DFT calculation (GGA+U) of Tl3Co5F12 after structural relaxation.

Calculated values
SG ... No. 230
Spin magnetization ... 56.0 Bohr magnetons per cell
Electronic total energy ... -366.66 eV per cell
Volume ... 1326.64 Å³/cell

```
Tl3Co5F12
1.0
-6.9220 6.9220 6.9220
6.9220 -6.9220 6.9220
6.9220 6.9220 -6.9220
Tl Co F
12 20 48
direct
0.1250 0.2500 0.3750
0.1250 0.3750 0.7500
0.2500 0.3750 0.1250
0.2500 0.8750 0.6250
0.3750 0.1250 0.2500
0.3750 0.7500 0.1250
0.6250 0.2500 0.8750
0.6250 0.8750 0.7500
0.7500 0.1250 0.3750
0.7500 0.6250 0.8750
0.8750 0.6250 0.2500
0.8750 0.7500 0.6250
0.0000 0.0000 0.0000
0.0000 0.0000 0.5000
0.0000 0.5000 0.0000
0.0000 0.5000 0.5000
0.1250 0.7500 0.8750
0.1250 0.8750 0.2500
0.2500 0.1250 0.8750
0.2500 0.6250 0.3750
0.3750 0.2500 0.6250
0.3750 0.6250 0.7500
0.5000 0.0000 0.0000
0.5000 0.0000 0.5000
0.5000 0.5000 0.0000
0.5000 0.5000 0.5000
0.6250 0.3750 0.2500
0.6250 0.7500 0.3750
0.7500 0.3750 0.6250
0.7500 0.8750 0.1250
0.8750 0.1250 0.7500
0.8750 0.2500 0.1250
0.0026 0.1886 0.1044
0.0026 0.3141 0.8983
0.0842 0.6886 0.6859
0.0842 0.8956 0.3983
0.1017 0.6044 0.4158
0.1017 0.9974 0.6859
0.1044 0.0026 0.1886
0.1044 0.6017 0.9158
0.1859 0.1886 0.5842
0.1859 0.4974 0.6017
0.1886 0.1044 0.0026
0.1886 0.5842 0.1859
0.3114 0.3141 0.9158
0.3114 0.4974 0.3956
0.3141 0.8983 0.0026
0.3141 0.9158 0.3114
0.3956 0.3114 0.4974
0.3956 0.5842 0.8983
0.3983 0.0842 0.8956
0.3983 0.8141 0.5026
0.4158 0.1017 0.6044
0.4158 0.8141 0.8114
0.4974 0.3956 0.3114
0.4974 0.6017 0.1859
0.5026 0.3983 0.8141
0.5026 0.6044 0.6886
0.5842 0.1859 0.1886
0.5842 0.8983 0.3956
0.6017 0.1859 0.4974
0.6017 0.9158 0.1044
0.6044 0.4158 0.1017
0.6044 0.6886 0.5026
0.6859 0.0842 0.6886
0.6859 0.1017 0.9974
0.6886 0.5026 0.6044
0.6886 0.6859 0.0842
0.8114 0.4158 0.8141
0.8114 0.8956 0.9974
0.8141 0.5026 0.3983
0.8141 0.8114 0.4158
0.8956 0.3983 0.0842
0.8956 0.9974 0.8114
0.8983 0.0026 0.3141
0.8983 0.3956 0.5842
0.9158 0.1044 0.6017
0.9158 0.3114 0.3141
0.9974 0.6859 0.1017
0.9974 0.8114 0.8956
```